# PBE with a Hubbard U K2NiPd3F12, relaxed
data_K2NiPd3F12
_chemical_formula_sum 'K6 Ni3 Pd9 F36'
_cell_length_a 7.8236
_cell_length_b 7.8236
_cell_length_c 17.7650
_cell_angle_alpha 90.00
_cell_angle_beta 90.00
_cell_angle_gamma 120.00
_symmetry_space_group_name_H-M 'R -3 m'
_symmetry_Int_Tables_number 166
_symmetry_space_group_name_Hall '-R 3 2"'
loop_
_atom_site_label
_atom_site_type_symbol
_atom_site_fract_x
_atom_site_fract_y
_atom_site_fract_z
K1 K 0.0000 0.0000 0.1701
Ni1 Ni 0.0000 0.0000 0.5000
Pd1 Pd 0.0000 0.5000 0.0000
F1 F 0.0741 0.5371 0.1101
F2 F 0.0866 0.5433 0.3629
# - Magnetization: 2.087 μB per formula unit
# - E: -4.140 eV per atom